[1]
A relaxed structure of CoW4Au, computed with GGA-PBE.

a b c (Å): 5.232 5.232 5.232
angles (deg): 60.00 60.00 60.00
Atoms (fractional coordinates):
Co (0.000, 0.000, 0.000)
W (0.375, 0.375, 0.375)
W (0.375, 0.375, 0.875)
W (0.375, 0.875, 0.375)
W (0.875, 0.375, 0.375)
Au (0.750, 0.750, 0.750)

Values from the calculation:
Symmetry   F-43m
E_tot   -57.9 eV for the cell shown

---

[2]
A relaxed structure of Co3WAu, computed with GGA-PBE.

a b c (Å): 4.424 4.424 4.424
angles (deg): 90.00 90.00 90.00
Atoms (fractional coordinates):
Co (0.000, 0.000, 0.500)
Co (0.000, 0.500, 0.000)
Co (0.500, 0.000, 0.000)
W (0.000, 0.000, 0.000)
Au (0.500, 0.500, 0.500)

Values from the calculation:
Symmetry   Pm-3m
Distance to the lowest polymorph of the same formula   0 meV per atom

---

[3]
A relaxed structure of Co2W2Au, computed with GGA-PBE.

a b c (Å): 7.224 7.224 2.720
angles (deg): 90.00 90.00 90.00
Atoms (fractional coordinates):
Co (0.125, 0.375, 0.000)
Co (0.375, 0.875, 0.000)
Co (0.625, 0.125, 0.000)
Co (0.875, 0.625, 0.000)
W (0.167, 0.667, 0.500)
W (0.333, 0.167, 0.500)
W (0.667, 0.833, 0.500)
W (0.833, 0.333, 0.500)
Au (0.000, 0.000, 0.000)
Au (0.500, 0.500, 0.000)

Values from the calculation:
Symmetry   P4/mbm
E_tot   -85.1 eV for the cell shown

---

[4]
A relaxed structure of CoWAu3, computed with GGA-PBE.

a b c (Å): 5.038 5.038 5.038
angles (deg): 90.00 90.00 90.00
Atoms (fractional coordinates):
Co (0.000, 0.000, 0.000)
W (0.500, 0.500, 0.500)
Au (0.000, 0.500, 0.500)
Au (0.500, 0.000, 0.500)
Au (0.500, 0.500, 0.000)

Values from the calculation:
Symmetry   Pm-3m
Distance to the lowest polymorph of the same formula   171 meV per atom

---

[5]
A relaxed structure of Co3WAu, computed with GGA-PBE.

a b c (Å): 4.536 4.536 4.536
angles (deg): 90.00 90.00 90.00
Atoms (fractional coordinates):
Co (0.000, 0.000, 0.500)
Co (0.000, 0.500, 0.000)
Co (0.500, 0.000, 0.000)
W (0.500, 0.500, 0.500)
Au (0.000, 0.000, 0.000)

Values from the calculation:
Symmetry   Pm-3m
Distance to the lowest polymorph of the same formula   656 meV per atom

---

[6]
A relaxed structure of CoWAu4, computed with GGA-PBE.

a b c (Å): 5.349 5.349 5.349
angles (deg): 60.00 60.00 60.00
Atoms (fractional coordinates):
Co (0.000, 0.000, 0.000)
W (0.750, 0.750, 0.750)
Au (0.375, 0.375, 0.375)
Au (0.375, 0.375, 0.875)
Au (0.375, 0.875, 0.375)
Au (0.875, 0.375, 0.375)

Values from the calculation:
Symmetry   F-43m
E_tot   -27.9 eV for the cell shown

---

[7]
A relaxed structure of Y2Co2Au, computed with GGA-PBE.

a b c (Å): 6.992 6.992 3.863
angles (deg): 90.00 90.00 90.00
Atoms (fractional coordinates):
Y (0.181, 0.319, 0.000)
Y (0.319, 0.819, 0.000)
Y (0.681, 0.181, 0.000)
Y (0.819, 0.681, 0.000)
Co (0.115, 0.615, 0.500)
Co (0.385, 0.115, 0.500)
Co (0.615, 0.885, 0.500)
Co (0.885, 0.385, 0.500)
Au (0.000, 0.000, 0.500)
Au (0.500, 0.500, 0.500)

Values from the calculation:
Symmetry   P4/mbm
Distance to the lowest polymorph of the same formula   0 meV per atom

---

[8]
A relaxed structure of Y12Co6Au, computed with GGA-PBE.

a b c (Å): 8.345 8.345 8.345
angles (deg): 109.47 109.47 109.47
Atoms (fractional coordinates):
Y (0.107, 0.301, 0.806)
Y (0.194, 0.494, 0.301)
Y (0.194, 0.893, 0.699)
Y (0.301, 0.194, 0.494)
Y (0.301, 0.806, 0.107)
Y (0.494, 0.301, 0.194)
Y (0.506, 0.699, 0.806)
Y (0.699, 0.194, 0.893)
Y (0.699, 0.806, 0.506)
Y (0.806, 0.107, 0.301)
Y (0.806, 0.506, 0.699)
Y (0.893, 0.699, 0.194)
Co (0.113, 0.500, 0.613)
Co (0.387, 0.887, 0.500)
Co (0.500, 0.387, 0.887)
Co (0.500, 0.613, 0.113)
Co (0.613, 0.113, 0.500)
Co (0.887, 0.500, 0.387)
Au (0.000, 0.000, 0.000)

Values from the calculation:
Symmetry   Im-3
E_tot   -128.2 eV for the cell shown